ThPaTcMo | PBE-GGA | optimized geometry

## Properties
N(E_F) = 22.602 states/eV/cell
E_tot = -0.6906 Ry per atom

The structure in CIF format:
```
data_ThPaTcMo
_space_group_name_H-M_alt 'F -4 3 m'
_space_group_IT_number 216
_space_group_name_Hall 'F -4 2 3'
_cell_length_a 7.046
_cell_length_b 7.046
_cell_length_c 7.046
_cell_angle_alpha 90.00
_cell_angle_beta 90.00
_cell_angle_gamma 90.00
loop_
_atom_site_label
_atom_site_type_symbol
_atom_site_fract_x
_atom_site_fract_y
_atom_site_fract_z
Th1 Th 0.000 0.000 0.000
Pa1 Pa 0.000 0.000 0.500
Tc1 Tc 0.250 0.250 0.750
Mo1 Mo 0.250 0.250 0.250
```

=====

TmPaTcMo | PBE-GGA | optimized geometry

## Properties
N(E_F) = 16.740 states/eV/cell
E_tot = -0.6467 Ry per atom

The structure in CIF format:
```
data_TmPaTcMo
_space_group_name_H-M_alt 'F -4 3 m'
_space_group_IT_number 216
_space_group_name_Hall 'F -4 2 3'
_cell_length_a 6.838
_cell_length_b 6.838
_cell_length_c 6.838
_cell_angle_alpha 90.00
_cell_angle_beta 90.00
_cell_angle_gamma 90.00
loop_
_atom_site_label
_atom_site_type_symbol
_atom_site_fract_x
_atom_site_fract_y
_atom_site_fract_z
Tm1 Tm 0.000 0.000 0.000
Pa1 Pa 0.000 0.000 0.500
Tc1 Tc 0.250 0.250 0.750
Mo1 Mo 0.250 0.250 0.250
```

=====

PaVTcMo | PBE-GGA | optimized geometry

## Properties
N(E_F) = 14.503 states/eV/cell
E_tot = -0.7369 Ry per atom

The structure in CIF format:
```
data_PaVTcMo
_space_group_name_H-M_alt 'F -4 3 m'
_space_group_IT_number 216
_space_group_name_Hall 'F -4 2 3'
_cell_length_a 6.488
_cell_length_b 6.488
_cell_length_c 6.488
_cell_angle_alpha 90.00
_cell_angle_beta 90.00
_cell_angle_gamma 90.00
loop_
_atom_site_label
_atom_site_type_symbol
_atom_site_fract_x
_atom_site_fract_y
_atom_site_fract_z
Pa1 Pa 0.000 0.000 0.000
V1 V 0.000 0.000 0.500
Tc1 Tc 0.250 0.250 0.250
Mo1 Mo 0.250 0.250 0.750
```

=====

PaTcMoW | PBE-GGA | optimized geometry

## Properties
N(E_F) = 15.821 states/eV/cell
E_tot = -0.7979 Ry per atom

The structure in CIF format:
```
data_PaTcMoW
_space_group_name_H-M_alt 'F -4 3 m'
_space_group_IT_number 216
_space_group_name_Hall 'F -4 2 3'
_cell_length_a 6.583
_cell_length_b 6.583
_cell_length_c 6.583
_cell_angle_alpha 90.00
_cell_angle_beta 90.00
_cell_angle_gamma 90.00
loop_
_atom_site_label
_atom_site_type_symbol
_atom_site_fract_x
_atom_site_fract_y
_atom_site_fract_z
Pa1 Pa 0.000 0.000 0.000
Tc1 Tc 0.250 0.250 0.750
Mo1 Mo 0.250 0.250 0.250
W1 W 0.000 0.000 0.500
```

=====

YPaTcMo | PBE-GGA | optimized geometry

## Properties
N(E_F) = 17.216 states/eV/cell
E_tot = -0.6771 Ry per atom

The structure in CIF format:
```
data_YPaTcMo
_space_group_name_H-M_alt 'F -4 3 m'
_space_group_IT_number 216
_space_group_name_Hall 'F -4 2 3'
_cell_length_a 6.885
_cell_length_b 6.885
_cell_length_c 6.885
_cell_angle_alpha 90.00
_cell_angle_beta 90.00
_cell_angle_gamma 90.00
loop_
_atom_site_label
_atom_site_type_symbol
_atom_site_fract_x
_atom_site_fract_y
_atom_site_fract_z
Y1 Y 0.000 0.000 0.000
Pa1 Pa 0.000 0.000 0.500
Tc1 Tc 0.250 0.250 0.750
Mo1 Mo 0.250 0.250 0.250
```

=====

ThPa2Mo | PBE-GGA | optimized geometry

## Properties
excess energy over the best structure of this formula in the dataset = 0.000 eV per atom
N(E_F) = 5.914 states/eV/cell

The structure in CIF format:
```
data_ThPa2Mo
_space_group_name_H-M_alt 'P 4/m m m'
_space_group_IT_number 123
_space_group_name_Hall '-P 4 2'
_cell_length_a 3.485
_cell_length_b 3.485
_cell_length_c 8.046
_cell_angle_alpha 90.00
_cell_angle_beta 90.00
_cell_angle_gamma 90.00
loop_
_atom_site_label
_atom_site_type_symbol
_atom_site_fract_x
_atom_site_fract_y
_atom_site_fract_z
Th1 Th 0.000 0.000 0.000
Pa1 Pa 0.500 0.500 0.286
Mo1 Mo 0.000 0.000 0.500
```

=====

ThPa2Mo | PBE-GGA | optimized geometry

## Properties
excess energy over the best structure of this formula in the dataset = 0.311 eV per atom
N(E_F) = 24.277 states/eV/cell

The structure in CIF format:
```
data_ThPa2Mo
_space_group_name_H-M_alt 'R -3 m'
_space_group_IT_number 166
_space_group_name_Hall '-R 3 2"'
_cell_length_a 3.2286
_cell_length_b 3.2286
_cell_length_c 32.8072
_cell_angle_alpha 90.00
_cell_angle_beta 90.00
_cell_angle_gamma 120.00
loop_
_atom_site_label
_atom_site_type_symbol
_atom_site_fract_x
_atom_site_fract_y
_atom_site_fract_z
Th1 Th 0.0000 0.0000 0.0000
Pa1 Pa 0.0000 0.0000 0.0978
Mo1 Mo 0.0000 0.0000 0.5000
```

=====

ThPaMo4 | PBE-GGA | optimized geometry

## Properties
N(E_F) = 27.909 states/eV/cell
E_tot = -0.7299 Ry per atom

The structure in CIF format:
```
data_ThPaMo4
_space_group_name_H-M_alt 'F -4 3 m'
_space_group_IT_number 216
_space_group_name_Hall 'F -4 2 3'
_cell_length_a 7.840
_cell_length_b 7.840
_cell_length_c 7.840
_cell_angle_alpha 90.00
_cell_angle_beta 90.00
_cell_angle_gamma 90.00
loop_
_atom_site_label
_atom_site_type_symbol
_atom_site_fract_x
_atom_site_fract_y
_atom_site_fract_z
Th1 Th 0.000 0.000 0.000
Pa1 Pa 0.250 0.250 0.750
Mo1 Mo 0.125 0.125 0.375
```

=====

PaTiMo | PBE-GGA | optimized geometry

## Properties
excess energy over the best structure of this formula in the dataset = 0.000 eV per atom
N(E_F) = 4.072 states/eV/cell

The structure in CIF format:
```
data_PaTiMo
_space_group_name_H-M_alt 'P 3 m 1'
_space_group_IT_number 156
_cell_length_a 4.5977
_cell_length_b 4.5977
_cell_length_c 3.0544
_cell_angle_alpha 90.00
_cell_angle_beta 90.00
_cell_angle_gamma 120.00
loop_
_space_group_symop_operation_xyz
'x,y,z'
'-y,x-y,z'
'-x+y,-x,z'
'-y,-x,z'
'-x+y,y,z'
'x,x-y,z'
loop_
_atom_site_label
_atom_site_type_symbol
_atom_site_fract_x
_atom_site_fract_y
_atom_site_fract_z
Pa1 Pa 0.0000 0.0000 0.0000
Ti1 Ti 0.3333 0.6667 0.3827
Mo1 Mo 0.6667 0.3333 0.7393
```

=====

PaTiMo4 | PBE-GGA | optimized geometry

## Properties
N(E_F) = 29.968 states/eV/cell
E_tot = -0.7328 Ry per atom

The structure in CIF format:
```
data_PaTiMo4
_space_group_name_H-M_alt 'F -4 3 m'
_space_group_IT_number 216
_space_group_name_Hall 'F -4 2 3'
_cell_length_a 7.630
_cell_length_b 7.630
_cell_length_c 7.630
_cell_angle_alpha 90.00
_cell_angle_beta 90.00
_cell_angle_gamma 90.00
loop_
_atom_site_label
_atom_site_type_symbol
_atom_site_fract_x
_atom_site_fract_y
_atom_site_fract_z
Pa1 Pa 0.000 0.000 0.000
Ti1 Ti 0.250 0.250 0.250
Mo1 Mo 0.125 0.125 0.625
```

=====

PaTiMo | PBE-GGA | optimized geometry

## Properties
excess energy over the best structure of this formula in the dataset = 0.043 eV per atom
N(E_F) = 14.233 states/eV/cell

The structure in CIF format:
```
data_PaTiMo
_space_group_name_H-M_alt 'A m m 2'
_space_group_IT_number 38
_cell_length_a 13.671
_cell_length_b 3.223
_cell_length_c 5.140
_cell_angle_alpha 90.00
_cell_angle_beta 90.00
_cell_angle_gamma 90.00
loop_
_space_group_symop_operation_xyz
'x,y,z'
'-x,-y,z'
'-x,y,z'
'x,-y,z'
'x,y+1/2,z+1/2'
'-x,-y+1/2,z+1/2'
'-x,y+1/2,z+1/2'
'x,-y+1/2,z+1/2'
loop_
_atom_site_label
_atom_site_type_symbol
_atom_site_fract_x
_atom_site_fract_y
_atom_site_fract_z
Pa1 Pa 0.171 0.000 0.000
Ti1 Ti 0.355 0.000 0.499
Mo1 Mo 0.000 0.000 0.500
Mo2 Mo 0.500 0.000 0.999
```

=====

ZrPaTiMo | PBE-GGA | optimized geometry

## Properties
N(E_F) = 19.488 states/eV/cell
E_tot = -0.6734 Ry per atom

The structure in CIF format:
```
data_ZrPaTiMo
_space_group_name_H-M_alt 'F -4 3 m'
_space_group_IT_number 216
_space_group_name_Hall 'F -4 2 3'
_cell_length_a 6.828
_cell_length_b 6.828
_cell_length_c 6.828
_cell_angle_alpha 90.00
_cell_angle_beta 90.00
_cell_angle_gamma 90.00
loop_
_atom_site_label
_atom_site_type_symbol
_atom_site_fract_x
_atom_site_fract_y
_atom_site_fract_z
Zr1 Zr 0.000 0.000 0.000
Pa1 Pa 0.000 0.000 0.500
Ti1 Ti 0.250 0.250 0.750
Mo1 Mo 0.250 0.250 0.250
```

=====

Pa2TlMo | PBE-GGA | optimized geometry

## Properties
excess energy over the best structure of this formula in the dataset = 0.280 eV per atom
N(E_F) = 18.190 states/eV/cell

The structure in CIF format:
```
data_Pa2TlMo
_space_group_name_H-M_alt 'R -3 m'
_space_group_IT_number 166
_space_group_name_Hall '-R 3 2"'
_cell_length_a 3.9494
_cell_length_b 3.9494
_cell_length_c 24.0032
_cell_angle_alpha 90.00
_cell_angle_beta 90.00
_cell_angle_gamma 120.00
loop_
_atom_site_label
_atom_site_type_symbol
_atom_site_fract_x
_atom_site_fract_y
_atom_site_fract_z
Pa1 Pa 0.0000 0.0000 0.2304
Tl1 Tl 0.0000 0.0000 0.0000
Mo1 Mo 0.0000 0.0000 0.5000
```

=====

Pa2TlMo | PBE-GGA | optimized geometry

## Properties
excess energy over the best structure of this formula in the dataset = 0.000 eV per atom
N(E_F) = 6.421 states/eV/cell

The structure in CIF format:
```
data_Pa2TlMo
_space_group_name_H-M_alt 'P 4/m m m'
_space_group_IT_number 123
_space_group_name_Hall '-P 4 2'
_cell_length_a 3.273
_cell_length_b 3.273
_cell_length_c 8.909
_cell_angle_alpha 90.00
_cell_angle_beta 90.00
_cell_angle_gamma 90.00
loop_
_atom_site_label
_atom_site_type_symbol
_atom_site_fract_x
_atom_site_fract_y
_atom_site_fract_z
Pa1 Pa 0.000 0.000 0.207
Tl1 Tl 0.500 0.500 0.500
Mo1 Mo 0.500 0.500 0.000
```

=====

TmPaMo | PBE-GGA | optimized geometry

## Properties
excess energy over the best structure of this formula in the dataset = 0.000 eV per atom
N(E_F) = 7.957 states/eV/cell

The structure in CIF format:
```
data_TmPaMo
_space_group_name_H-M_alt 'I 4 m m'
_space_group_IT_number 107
_space_group_name_Hall 'I 4 -2'
_cell_length_a 3.474
_cell_length_b 3.474
_cell_length_c 11.234
_cell_angle_alpha 90.00
_cell_angle_beta 90.00
_cell_angle_gamma 90.00
loop_
_atom_site_label
_atom_site_type_symbol
_atom_site_fract_x
_atom_site_fract_y
_atom_site_fract_z
Tm1 Tm 0.000 0.000 0.000
Pa1 Pa 0.000 0.000 0.301
Mo1 Mo 0.000 0.000 0.680
```